(P)
A plane-wave DFT calculation with PBE was carried out for crystalline BeMoAu2 at its relaxed geometry.

```
4
Lattice="-1.8262 -1.0582 1.8021 0.1844 -3.5107 -1.8746 4.2229 -1.5708 3.3570" Properties=species:S:1:pos:R:3 pbc="T T T"
Mo 2.3462 -3.4625 2.4815
Au 0.0314 -0.0117 0.0250
Au 2.0800 -0.7737 1.6535
Be 0.2348 -2.6771 0.8030
```

## Properties
- symmetry = Pmmm

=====

(Q)
A plane-wave DFT calculation with PBE was carried out for crystalline BeMoAu2 at its relaxed geometry.

```
4
Lattice="5.3294 0.0062 0.0108 2.5799 4.6633 -0.0108 -3.3476 -3.3631 2.4262" Properties=species:S:1:pos:R:3 pbc="T T T"
Au 4.2891 2.5322 0.0000
Au 7.5749 4.4722 0.0000
Be 2.9683 -0.5110 1.2185
Mo 1.5935 1.8175 1.2077
```

## Properties
- symmetry = Immm

=====

(R)
A plane-wave DFT calculation with PBE was carried out for crystalline BeMoAu2 at its relaxed geometry.

```
4
Lattice="-1.7806 4.4427 -3.1078 -3.0500 4.7749 -0.6808 2.3544 3.6023 0.7384" Properties=species:S:1:pos:R:3 pbc="T T T"
Mo -0.2615 2.9253 -0.5372
Be -1.2216 6.3968 -1.5146
Au -2.2299 9.9067 -2.5226
Au 2.3530 3.6033 0.7375
```

## Properties
- symmetry = Imm2

=====

(S)
A plane-wave DFT calculation with PBE was carried out for crystalline BeMoAu2 at its relaxed geometry.

```
4
Lattice="8.8209 -0.0043 -0.0025 8.3618 2.8088 -0.0025 8.3618 1.3648 2.4549" Properties=species:S:1:pos:R:3 pbc="T T T"
Au 0.2546 0.0415 0.0244
Au 12.5177 2.0431 1.2005
Be 19.1583 3.1269 1.8374
Mo 6.3861 1.0423 0.6125
```

## Properties
- symmetry = R-3m

=====

Stability check: which of them is least stable? (P).

=====

(P)
A plane-wave DFT calculation with PBE was carried out for crystalline BeMoAu2 at its relaxed geometry.

```
4
Lattice="4.9613 -0.0270 -0.0191 -1.7264 4.6513 -0.0191 0.0117 0.0168 2.7273" Properties=species:S:1:pos:R:3 pbc="T T T"
Au 0.0000 0.0000 0.0000
Au 1.6175 2.3122 -0.0191
Mo -0.8573 2.3340 1.3541
Be 2.4865 -0.0051 1.3541
```

## Properties
- symmetry = Cmmm

=====

(Q)
A plane-wave DFT calculation with PBE was carried out for crystalline BeMoAu2 at its relaxed geometry.

```
4
Lattice="4.6863 0.0108 0.0000 1.0293 4.5718 0.0000 -2.8578 -2.2913 2.9230" Properties=species:S:1:pos:R:3 pbc="T T T"
Au 0.0000 0.0000 0.0000
Au 0.5147 2.2859 1.4615
Be 2.8578 2.2913 0.0000
Mo 2.3431 0.0054 1.4615
```

## Properties
- symmetry = I-4m2

=====

Stability check: which of them is least stable? (Q).

=====

(P)
A plane-wave DFT calculation with PBE was carried out for crystalline BeMoAu2 at its relaxed geometry.

```
4
Lattice="-2.6658 0.0145 -0.9385 0.5602 -2.2455 -1.6223 -1.9935 -4.5379 5.5925" Properties=species:S:1:pos:R:3 pbc="T T T"
Mo -2.4738 -4.3501 2.7059
Au -1.9724 -4.4898 5.5332
Au -1.6562 -2.4889 0.4122
Be -0.9870 -2.2468 2.7690
```

## Properties
- symmetry = P4mm

=====

(Q)
A plane-wave DFT calculation with PBE was carried out for crystalline BeMoAu2 at its relaxed geometry.

```
4
Lattice="3.3223 -0.6683 2.9310 0.4987 2.7653 3.4899 -0.9227 -1.4331 4.1436" Properties=species:S:1:pos:R:3 pbc="T T T"
Be 0.0000 0.0000 0.0000
Au 0.7246 0.1660 2.6411
Au 2.1737 0.4979 7.9234
Mo 1.4491 0.3319 5.2822
```

## Properties
- symmetry = Fm-3m

=====

Stability check: which of them is least stable? (Q).

=====

(P)
A plane-wave DFT calculation with PBE was carried out for crystalline BeMoAu2 at its relaxed geometry.

```
4
Lattice="4.7539 -0.0046 0.0000 1.2609 4.5837 0.0000 -3.0074 -2.2896 2.8833" Properties=species:S:1:pos:R:3 pbc="T T T"
Au 0.0000 0.0000 0.0000
Au 3.0074 2.2896 0.0000
Mo 2.3770 -0.0023 1.4417
Be 0.6304 2.2918 1.4417
```

## Properties
- symmetry = I4/mmm

=====

(Q)
A plane-wave DFT calculation with PBE was carried out for crystalline BeMoAu2 at its relaxed geometry.

```
4
Lattice="3.7878 0.0000 0.0000 0.0000 2.8463 0.0014 0.0000 1.4296 5.6983" Properties=species:S:1:pos:R:3 pbc="T T T"
Au 1.8939 1.6034 1.5726
Au 0.0000 1.6044 5.5762
Mo 1.8939 3.0265 4.0536
Be 0.0000 1.6091 3.0453
```

## Properties
- symmetry = Pm

=====

(R)
A plane-wave DFT calculation with PBE was carried out for crystalline BeMoAu2 at its relaxed geometry.

```
4
Lattice="-0.1617 -2.5714 1.2085 3.6382 1.0676 2.7585 -2.9785 1.7205 3.2624" Properties=species:S:1:pos:R:3 pbc="T T T"
Au 0.0000 0.0000 0.0000
Au 1.7383 -0.7519 1.9835
Be -1.5701 -0.4255 2.2354
Mo 0.3299 1.3941 3.0105
```

## Properties
- symmetry = Pmmm

=====

(S)
A plane-wave DFT calculation with PBE was carried out for crystalline BeMoAu2 at its relaxed geometry.

```
4
Lattice="-2.7880 2.8160 0.3868 -2.4542 -2.6574 1.6565 1.4297 0.9215 3.5966" Properties=species:S:1:pos:R:3 pbc="T T T"
Be -2.6211 0.0793 1.0217
Au -0.5122 -0.8679 2.6265
Au 0.0000 0.0000 0.0000
Mo -0.6792 1.8687 1.9917
```

## Properties
- symmetry = P4/mmm

=====

Stability check: which of them is least stable? (R).

=====

(P)
A plane-wave DFT calculation with PBE was carried out for crystalline BeMoAu2 at its relaxed geometry.

```
8
Lattice="-2.2711 3.0001 -0.3226 -1.4019 -1.4067 -3.2122 -8.4424 -3.6829 3.0773" Properties=species:S:1:pos:R:3 pbc="T T T"
Be -1.8365 0.7967 -1.7674
Be -5.8404 -2.1464 -0.9512
Au -7.7191 -2.1747 0.9595
Au -3.2869 -1.4035 -1.2810
Au -9.5356 -1.3579 -0.7621
Au -3.6890 0.7571 0.1684
Mo 0.0000 0.0000 0.0000
Mo -6.2750 0.0569 0.4936
```

## Properties
- symmetry = I-42d

=====

(Q)
A plane-wave DFT calculation with PBE was carried out for crystalline BeMoAu2 at its relaxed geometry.

```
4
Lattice="-3.1544 1.0004 -2.4395 -1.7464 -0.3278 2.1238 -0.2916 5.0204 2.4359" Properties=species:S:1:pos:R:3 pbc="T T T"
Be -2.0867 1.6734 -0.0798
Au -0.8218 2.3068 2.0087
Au -0.1972 0.0395 0.2712
Mo -3.1057 4.0197 2.2000
```

## Properties
- symmetry = P2/m

=====

Stability check: which of them is least stable? (P).

=====

(P)
A plane-wave DFT calculation with PBE was carried out for crystalline BeMo3Au at its relaxed geometry.

```
5
Lattice="4.2419 0.0000 0.0000 0.0000 4.2419 0.0000 0.0000 0.0000 4.2419" Properties=species:S:1:pos:R:3 pbc="T T T"
Au 2.1209 2.1209 2.1209
Mo 0.0000 2.1209 0.0000
Mo 2.1209 0.0000 0.0000
Mo 0.0000 0.0000 2.1209
Be 0.0000 0.0000 0.0000
```

## Properties
- symmetry = Pm-3m

=====

(Q)
A plane-wave DFT calculation with PBE was carried out for crystalline BeMo3Au at its relaxed geometry.

```
5
Lattice="4.8357 0.0000 0.0000 0.0000 4.8357 0.0000 0.0000 0.0000 4.8357" Properties=species:S:1:pos:R:3 pbc="T T T"
Mo 0.0000 0.0000 2.4179
Mo 0.0000 2.4179 0.0000
Mo 2.4179 0.0000 0.0000
Au 0.0000 0.0000 0.0000
Be 2.4179 2.4179 2.4179
```

## Properties
- symmetry = Pm-3m

=====

Stability check: which of them is least stable? (Q).

=====

(P)
A plane-wave DFT calculation with PBE was carried out for crystalline BeMoAu3 at its relaxed geometry.

```
5
Lattice="5.0521 0.0000 0.0000 0.0000 5.0521 0.0000 0.0000 0.0000 5.0521" Properties=species:S:1:pos:R:3 pbc="T T T"
Au 0.0000 2.5260 0.0000
Au 0.0000 0.0000 2.5260
Au 2.5260 0.0000 0.0000
Mo 0.0000 0.0000 0.0000
Be 2.5260 2.5260 2.5260
```

## Properties
- symmetry = Pm-3m

=====

(Q)
A plane-wave DFT calculation with PBE was carried out for crystalline BeMoAu3 at its relaxed geometry.

```
5
Lattice="-2.9429 2.9622 -1.2991 -0.5779 -2.2096 -3.7292 -3.1825 -2.3379 1.8784" Properties=species:S:1:pos:R:3 pbc="T T T"
Au -1.4714 1.4811 -0.6496
Au -1.5913 -1.1690 0.9392
Au -0.2889 -1.1048 -1.8646
Mo -3.3516 -0.7926 -1.5749
Be 0.0000 0.0000 0.0000
```

## Properties
- symmetry = Pm-3m

=====

Stability check: which of them is least stable? (P).

=====

(P)
A plane-wave DFT calculation with PBE was carried out for crystalline BeZnAu2N at its relaxed geometry.

```
5
Lattice="-2.6925 0.1945 3.4619 3.5114 -0.1413 2.7389 0.2294 4.3834 -0.0679" Properties=species:S:1:pos:R:3 pbc="T T T"
Be 0.0000 0.0000 0.0000
Au -1.3462 0.0972 1.7309
Au 0.1147 2.1917 -0.0339
Zn 1.7557 -0.0707 1.3695
N 0.5241 2.2183 3.0665
```

## Properties
- symmetry = P4/mmm

=====

(Q)
A plane-wave DFT calculation with PBE was carried out for crystalline BeZnAu2N at its relaxed geometry.

```
5
Lattice="4.8841 0.0000 0.0000 0.0000 3.0452 0.0000 0.0000 0.0000 4.8841" Properties=species:S:1:pos:R:3 pbc="T T T"
Zn 2.4421 1.5226 2.4421
N 0.0000 0.0000 0.0000
Au 2.4421 0.0000 0.0000
Au 0.0000 0.0000 2.4421
Be 0.0000 1.5226 0.0000
```

## Properties
- symmetry = P4/mmm

=====

Stability check: which of them is least stable? (P).